Record 1
Compound: AcEuPH
Source: Alexandria via LeMat-Bulk
Functional: PBE-GGA
Structure: optimized geometry

Geometry as POSCAR:
```
AcEuPH
1.0
-0.6181 4.1808 2.7617
-1.4534 -0.3519 4.8221
3.2559 1.0833 3.7033
Eu P Ac H
1 1 1 1
direct
0.0000 0.0000 0.0000
0.7500 0.7500 0.7500
0.5000 0.5000 0.5000
0.2500 0.2500 0.2500
```

Computed properties:
**DFT total energy**: -25.87 eV per formula unit

---

Record 2
Compound: Ca3Tb4Se8
Source: Alexandria via LeMat-Bulk
Functional: PBE-GGA
Structure: optimized geometry

Geometry as POSCAR:
```
Ca3Tb4Se8
1.0
8.2345 -0.1000 -0.1437
-4.0034 7.2159 0.1362
-4.0034 -2.3772 6.8145
Ca Tb Se
3 4 8
direct
0.5000 0.5000 0.0000
0.5000 0.0000 0.5000
0.5000 0.5000 0.5000
0.5000 0.0000 0.0000
0.0000 0.5000 0.0000
0.0000 0.0000 0.0000
0.0000 0.0000 0.5000
0.4922 0.2429 0.2429
0.0000 0.7512 0.2488
0.9963 0.2487 0.2487
0.5000 0.7512 0.2488
0.5000 0.2488 0.7512
0.0037 0.7513 0.7513
0.0000 0.2488 0.7512
0.5078 0.7571 0.7571
```

Computed properties:
**Formation energy from raw total energies**: -1919 meV per atom

---

Record 3
Compound: DyTmBiS2
Source: Alexandria via LeMat-Bulk
Functional: PBE-GGA
Structure: optimized geometry

Geometry as POSCAR:
```
DyTmBiS2
1.0
4.4929 0.0000 0.0000
0.0000 4.4929 0.0000
-2.2464 -2.2464 6.7965
Dy Tm Bi S
1 1 1 2
direct
0.1458 0.1458 0.2916
0.8517 0.8517 0.7034
0.4996 0.4996 0.9993
0.7514 0.2514 0.5028
0.2514 0.7514 0.5028
```

Computed properties:
**Formation energy from raw total energies**: -1269 meV per atom

---

Record 4
Compound: Li2AsF
Source: Alexandria via LeMat-Bulk
Functional: PBE-GGA
Structure: optimized geometry

Geometry as POSCAR:
```
Li2AsF
1.0
2.9573 0.0000 0.0000
1.4787 2.5611 0.0000
1.4787 0.8537 6.5814
As Li F
1 2 1
direct
0.5000 0.5000 0.5000
0.2747 0.2747 0.1760
0.7253 0.7253 0.8240
0.0000 0.0000 0.0000
```

Computed properties:
**Formation energy from raw total energies**: -1648 meV per atom
**Relative energy among the computed polymorphs**: 0.0 kJ/mol of atoms

---

Record 5
Compound: AcZnRh3
Source: Alexandria via LeMat-Bulk
Functional: PBE-GGA
Structure: optimized geometry

Geometry as POSCAR:
```
AcZnRh3
1.0
5.5394 0.0000 0.0000
0.0000 8.9569 0.0000
-2.7697 -4.4784 3.8284
Ac Zn Rh
2 2 6
direct
0.2500 0.2594 0.5000
0.7500 0.7406 0.5000
0.0000 0.5000 0.0000
0.5000 0.0000 0.0000
0.8007 0.3007 0.1013
0.3007 0.3007 0.1013
0.6993 0.6993 0.8987
0.1993 0.6993 0.8987
0.2500 0.9487 0.5000
0.7500 0.0513 0.5000
```

Computed properties:
**E_form**: -375 meV/atom

---

Record 6
Compound: CoSb2TeI
Source: Alexandria via LeMat-Bulk
Functional: PBE-GGA
Structure: optimized geometry

Geometry as POSCAR:
```
CoSb2TeI
1.0
-3.2245 -3.3596 -1.9282
2.7254 -3.7504 1.9771
-2.8268 0.2282 4.3296
I Sb Te Co
1 2 1 1
direct
0.0000 0.0000 0.5000
0.0000 0.5000 0.0000
0.5000 0.0000 0.0000
0.5000 0.5000 0.5000
0.0000 0.0000 0.0000
```

Computed properties:
**Formation energy from raw total energies**: 349 meV per atom
**Relative energy among the computed polymorphs**: 1.3 kJ/mol of atoms

---

Record 7
Compound: TaTc2Pt
Source: Alexandria via LeMat-Bulk
Functional: PBE-GGA
Structure: optimized geometry

Geometry as POSCAR:
```
TaTc2Pt
1.0
2.7385 0.1264 0.0000
-0.4117 2.7103 0.0000
0.0000 0.0000 8.4252
Pt Ta Tc
1 1 2
direct
0.5000 0.5000 0.2500
0.5000 0.5000 0.7500
0.0000 0.0000 0.0078
0.0000 0.0000 0.4922
```

Computed properties:
**E_form**: -32 meV/atom
**Relative energy among the computed polymorphs**: 31.5 kJ/mol of atoms

---

Record 8
Compound: Tb3Y5Er4
Source: Alexandria via LeMat-Bulk
Functional: PBE-GGA
Structure: optimized geometry

Geometry as POSCAR:
```
Tb3Y5Er4
1.0
5.8505 0.0000 0.0000
2.9253 7.5412 -2.7411
2.9253 -0.8568 9.1037
Tb Y Er
3 5 4
direct
0.5214 0.6868 0.2705
0.0000 0.5000 0.5000
0.4786 0.3132 0.7295
0.6265 0.9485 0.7985
0.5000 0.5000 0.5000
0.2135 0.4597 0.1132
0.7865 0.5403 0.8868
0.3735 0.0515 0.2015
0.8597 0.2211 0.0596
0.1649 0.0485 0.6218
0.8351 0.9515 0.3782
0.1403 0.7789 0.9404
```

Computed properties:
**E_form**: 244 meV/atom
**Relative energy among the computed polymorphs**: 21.3 kJ/mol of atoms

---

Record 9
Compound: BaHfAs2H
Source: Alexandria via LeMat-Bulk
Functional: PBE-GGA
Structure: optimized geometry

Geometry as POSCAR:
```
BaHfAs2H
1.0
4.2445 0.0000 0.0000
0.0000 6.9764 0.3937
0.0000 -2.5305 7.8811
Ba Hf As H
2 2 4 2
direct
0.2500 0.6616 0.2994
0.7500 0.3384 0.7006
0.2500 0.8382 0.8301
0.7500 0.1618 0.1699
0.7500 0.8241 0.6294
0.7500 0.7711 0.0141
0.2500 0.1759 0.3706
0.2500 0.2289 0.9859
0.2500 0.5484 0.7549
0.7500 0.4516 0.2451
```

Computed properties:
**Relative energy among the computed polymorphs**: 0.0 kJ/mol of atoms

---

Record 10
Compound: Zr3AlAu
Source: Alexandria via LeMat-Bulk
Functional: PBE-GGA
Structure: optimized geometry

Geometry as POSCAR:
```
Zr3AlAu
1.0
-2.2138 -0.1095 -4.6467
0.0625 -5.1470 0.0915
-4.6475 -0.0170 2.2146
Au Al Zr
1 1 3
direct
0.0000 0.0000 0.0000
0.5000 0.5000 0.5000
0.0000 0.5000 0.0000
0.0000 0.0000 0.5000
0.5000 0.0000 0.0000
```

Computed properties:
**E_form**: 567 meV/atom
**Relative energy among the computed polymorphs**: 0.0 kJ/mol of atoms

---

Record 11
Compound: Ce2Si4RuRh3
Source: Alexandria via LeMat-Bulk
Functional: PBE-GGA
Structure: optimized geometry

Geometry as POSCAR:
```
Ce2Si4RuRh3
1.0
-0.1170 4.0882 -0.9115
-3.0240 -0.7134 -2.8115
-6.7281 1.3448 6.8954
Ce Si Ru Rh
2 4 1 3
direct
0.5000 0.0000 0.2465
0.0000 0.5000 0.7535
0.5000 0.5000 0.0000
0.0000 0.0000 0.0000
0.5000 0.0000 0.6247
0.0000 0.5000 0.3753
0.5000 0.5000 0.5000
0.0000 0.0000 0.5000
0.5000 0.0000 0.8740
0.0000 0.5000 0.1260
```

Computed properties:
**Formation energy from raw total energies**: -997 meV per atom

---

Record 12
Compound: HIr3F
Source: Alexandria via LeMat-Bulk
Functional: PBE-GGA
Structure: optimized geometry

Geometry as POSCAR:
```
HIr3F
1.0
3.9198 0.0000 0.0000
0.0000 3.9198 0.0000
0.0000 0.0000 3.9198
H Ir F
1 3 1
direct
0.0000 0.0000 0.0000
0.0000 0.5000 0.0000
0.0000 0.0000 0.5000
0.5000 0.0000 0.0000
0.5000 0.5000 0.5000
```

Computed properties:
**Relative energy among the computed polymorphs**: 0.0 kJ/mol of atoms

---

Record 13
Compound: BaMnAu2S
Source: Alexandria via LeMat-Bulk
Functional: PBE-GGA
Structure: optimized geometry

Geometry as POSCAR:
```
BaMnAu2S
1.0
5.9289 0.0000 0.0000
0.0000 5.9289 0.0000
0.0000 0.0000 7.0077
S Mn Au Ba
1 1 2 1
direct
0.5000 0.5000 0.5000
0.0000 0.0000 0.5000
0.0000 0.5000 0.0000
0.5000 0.0000 0.0000
0.0000 0.0000 0.0000
```

Computed properties:
**Formation energy from raw total energies**: 1330 meV per atom
**Relative energy among the computed polymorphs**: 180.1 kJ/mol of atoms

---

Record 14
Compound: Ho3ErHg2
Source: Alexandria via LeMat-Bulk
Functional: PBE-GGA
Structure: optimized geometry

Geometry as POSCAR:
```
Ho3ErHg2
1.0
5.0924 0.0000 0.0000
0.0000 6.9966 0.0000
0.0000 0.0000 9.1808
Ho Er Hg
6 2 4
direct
0.0000 0.4845 0.9459
0.0000 0.9845 0.0541
0.5000 0.6711 0.1751
0.5000 0.1711 0.8249
0.0000 0.3288 0.3259
0.0000 0.8288 0.6741
0.5000 0.5156 0.5540
0.5000 0.0156 0.4460
0.5000 0.7360 0.8498
0.5000 0.2360 0.1502
0.0000 0.2640 0.6498
0.0000 0.7640 0.3502
```

Computed properties:
**E_form**: -364 meV/atom
**Relative energy among the computed polymorphs**: 0.0 kJ/mol of atoms

---

Record 15
Compound: Sr2AlOs
Source: Alexandria via LeMat-Bulk
Functional: PBE-GGA
Structure: optimized geometry

Geometry as POSCAR:
```
Sr2AlOs
1.0
11.1406 0.0000 0.0000
0.0000 11.1406 0.0000
5.5703 5.5703 2.4057
Sr Os Al
4 2 2
direct
0.8018 0.1250 0.2500
0.9482 0.6250 0.2500
0.3750 0.1982 0.7500
0.8750 0.0518 0.7500
0.0000 0.0000 0.0000
0.7500 0.2500 0.5000
0.5000 0.5000 0.0000
0.2500 0.7500 0.5000
```

Computed properties:
**E_form**: 319 meV/atom

---

Record 16
Compound: TiTeRu3
Source: Alexandria via LeMat-Bulk
Functional: PBE-GGA
Structure: optimized geometry

Geometry as POSCAR:
```
TiTeRu3
1.0
4.7251 0.0000 0.0000
0.0000 4.7251 0.0000
0.0000 0.0000 4.7251
Ru Te Ti
3 1 1
direct
0.0000 0.5000 0.0000
0.0000 0.0000 0.5000
0.5000 0.0000 0.0000
0.0000 0.0000 0.0000
0.5000 0.5000 0.5000
```

Computed properties:
**Formation energy from raw total energies**: 1359 meV per atom
**Relative energy among the computed polymorphs**: 29.0 kJ/mol of atoms

---

Record 17
Compound: Tb3MgSn2
Source: Alexandria via LeMat-Bulk
Functional: PBE-GGA
Structure: optimized geometry

Geometry as POSCAR:
```
Tb3MgSn2
1.0
6.3949 0.0000 0.0000
0.0000 6.3132 0.0000
-3.1975 -3.1566 8.3048
Tb Mg Sn
6 2 4
direct
0.4182 0.6764 0.3527
0.5818 0.3236 0.6473
0.0654 0.8236 0.6473
0.9346 0.1764 0.3527
0.5000 0.7500 0.0000
0.5000 0.2500 0.0000
0.0000 0.2500 0.0000
0.0000 0.7500 0.0000
0.3881 0.1353 0.2705
0.6119 0.8647 0.7295
0.1176 0.3647 0.7295
0.8824 0.6353 0.2705
```

Computed properties:
**E_form**: -500 meV/atom

---

Record 18
Compound: U2MnCo9
Source: Alexandria via LeMat-Bulk
Functional: PBE-GGA
Structure: optimized geometry

Geometry as POSCAR:
```
U2MnCo9
1.0
-1.6681 2.9842 1.5191
-3.2430 -1.0167 -1.5637
-2.4011 -5.7948 8.7472
U Mn Co
2 1 9
direct
0.0000 0.0000 0.3235
0.0000 0.0000 0.6765
0.0000 0.0000 0.0000
0.5000 0.5000 0.0000
0.5000 0.5000 0.3274
0.5000 0.5000 0.6726
0.5000 0.0000 0.1553
0.5000 0.0000 0.5000
0.5000 0.0000 0.8447
0.0000 0.5000 0.1553
0.0000 0.5000 0.5000
0.0000 0.5000 0.8447
```

Computed properties:
**E_form**: -129 meV/atom
**Relative energy among the computed polymorphs**: 0.0 kJ/mol of atoms

---

Record 19
Compound: LiCaZr2
Source: Alexandria via LeMat-Bulk
Functional: PBE-GGA
Structure: optimized geometry

Geometry as POSCAR:
```
LiCaZr2
1.0
-1.5949 0.7717 -3.7208
1.6859 -3.4727 -1.4428
-9.8311 -7.3842 0.4002
Ca Zr Li
2 4 2
direct
0.0000 0.0000 0.0000
0.7500 0.2500 0.5000
0.1364 0.1250 0.2500
0.6136 0.6250 0.2500
0.3750 0.8636 0.7500
0.8750 0.3864 0.7500
0.5000 0.5000 0.0000
0.2500 0.7500 0.5000
```

Computed properties:
**E_form**: 524 meV/atom
**Relative energy among the computed polymorphs**: 34.1 kJ/mol of atoms

---

Record 20
Compound: GePtS2Cl
Source: Alexandria via LeMat-Bulk
Functional: PBE-GGA
Structure: optimized geometry

Geometry as POSCAR:
```
GePtS2Cl
1.0
-2.4074 3.5697 -1.9891
-3.6950 -2.8875 -0.7100
-1.7664 1.2036 4.2980
Ge S Pt Cl
1 2 1 1
direct
0.5000 0.5000 0.5000
0.0000 0.5000 0.0000
0.5000 0.0000 0.0000
0.0000 0.0000 0.0000
0.0000 0.0000 0.5000
```

Computed properties:
**Formation energy from raw total energies**: 290 meV per atom
**Relative energy among the computed polymorphs**: 0.0 kJ/mol of atoms

---

Record 21
Compound: Ac2HfGePd6
Source: Alexandria via LeMat-Bulk
Functional: PBE-GGA
Structure: optimized geometry

Geometry as POSCAR:
```
Ac2HfGePd6
1.0
-1.9888 -3.2480 -5.5762
-0.0569 -6.5357 2.6052
-5.9702 -6.3123 -0.6505
Ac Hf Ge Pd
2 1 1 6
direct
0.7606 0.2394 0.5361
0.2394 0.7606 0.4639
0.0000 0.0000 0.0000
0.5000 0.5000 0.0000
0.2585 0.2547 0.4930
0.7446 0.7412 0.0069
0.2507 0.7488 0.8549
0.7493 0.2512 0.1451
0.2554 0.2588 0.9931
0.7415 0.7453 0.5070
```

Computed properties:
**E_form**: -635 meV/atom

---

Record 22
Compound: Rb3VIn
Source: Alexandria via LeMat-Bulk
Functional: PBE-GGA
Structure: optimized geometry

Geometry as POSCAR:
```
Rb3VIn
1.0
-1.8150 2.9786 5.7857
-1.5768 -6.0288 2.6091
6.3135 -0.6495 2.3149
In Rb V
1 3 1
direct
0.5000 0.5000 0.5000
0.0000 0.5000 0.0000
0.0000 0.0000 0.5000
0.5000 0.0000 0.0000
0.0000 0.0000 0.0000
```

Computed properties:
**E_form**: 972 meV/atom
**Relative energy among the computed polymorphs**: 0.0 kJ/mol of atoms

---

Record 23
Compound: Hf2TaAsN
Source: Alexandria via LeMat-Bulk
Functional: PBE-GGA
Structure: optimized geometry

Geometry as POSCAR:
```
Hf2TaAsN
1.0
5.2712 0.0000 0.0000
0.0000 5.2712 0.0000
0.0000 0.0000 3.8980
As N Hf Ta
1 1 2 1
direct
0.5000 0.5000 0.5000
0.0000 0.0000 0.5000
0.0000 0.5000 0.0000
0.5000 0.0000 0.0000
0.0000 0.0000 0.0000
```

Computed properties:
**Formation energy from raw total energies**: 622 meV per atom
**Relative energy among the computed polymorphs**: 0.0 kJ/mol of atoms

---

Record 24
Compound: HWSe2
Source: Alexandria via LeMat-Bulk
Functional: PBE-GGA
Structure: optimized geometry

Geometry as POSCAR:
```
HWSe2
1.0
-4.9340 2.0706 0.5430
-2.0133 -4.0250 -2.9450
-4.1345 -3.6164 2.8578
H Se W
2 4 2
direct
0.5000 0.5000 0.0000
0.2500 0.7500 0.5000
0.5735 0.1250 0.2500
0.1765 0.6250 0.2500
0.3750 0.4265 0.7500
0.8750 0.8235 0.7500
0.0000 0.0000 0.0000
0.7500 0.2500 0.5000
```

Computed properties:
**Relative energy among the computed polymorphs**: 59.3 kJ/mol of atoms

---

Record 25
Compound: SrZr2Au
Source: Alexandria via LeMat-Bulk
Functional: PBE-GGA
Structure: optimized geometry

Geometry as POSCAR:
```
SrZr2Au
1.0
-0.2552 3.0533 -4.2066
-4.5439 0.6932 -2.4403
-2.4213 4.5989 0.2658
Au Sr Zr
1 1 2
direct
0.5000 0.5000 0.5000
0.2500 0.2500 0.2500
0.0000 0.0000 0.0000
0.7500 0.7500 0.7500
```

Computed properties:
**E_form**: 238 meV/atom
**Relative energy among the computed polymorphs**: 41.3 kJ/mol of atoms

---

For each record above, in turn, the calculated density of states at the Fermi level values are 2.18, 3.95, 3.70, 0.64, 3.45, 5.07, 4.84, 19.98, 2.24, 3.68, 9.73, 5.11, 8.60, 2.14, 3.53, 10.57, 8.53, 12.53, 5.83, 3.35, 6.42, 7.49, 3.62, 2.10, 2.41 states/eV/f.u..